# Ac2SeCl2O

A relaxed structure of Ac2SeCl2O (PBE, Alexandria via LeMat-Bulk).

For the raw formation energy, the calculation gives -2633 meV/atom. The energy comes out at -6.0255 eV/atom.

Cell lengths 4.4084, 7.5915, 9.3948 Å; angles 90.00, 90.00, 90.00 degrees
Fractional coordinates of all 12 atoms:
1 Se 0.0000 0.0210 0.4664
2 Se 0.0000 0.5210 0.5336
3 Cl 0.5000 0.0086 0.1371
4 Cl 0.5000 0.5086 0.8629
5 Cl 0.0000 0.3491 0.1271
6 Cl 0.0000 0.8491 0.8729
7 Ac 0.5000 0.8176 0.6510
8 Ac 0.0000 0.7370 0.2171
9 Ac 0.0000 0.2370 0.7829
10 Ac 0.5000 0.3176 0.3490
11 O 0.5000 0.1123 0.7319
12 O 0.5000 0.6123 0.2681

# Y5Tm12Th2

A relaxed structure of Y5Tm12Th2 (PBE, Alexandria via LeMat-Bulk).

The value obtained for the energy above the most stable polymorph in this dataset is 0.023 eV per atom. For the formation energy, the calculation gives 146 meV per atom. The energy comes out at -5.1598 eV/atom.

Cell lengths 9.2566, 12.2191, 8.4304 Å; angles 132.12, 90.00, 112.26 degrees
Fractional coordinates of all 19 atoms:
1 Tm 0.4452 0.8903 0.2174
2 Tm 0.9728 0.3054 0.0600
3 Tm 0.0272 0.6946 0.9400
4 Tm 0.5548 0.1097 0.7826
5 Tm 0.0866 0.1733 0.2892
6 Tm 0.4350 0.2557 0.5967
7 Tm 0.5650 0.7443 0.4033
8 Tm 0.1793 0.7443 0.4033
9 Tm 0.6674 0.6946 0.9400
10 Tm 0.9134 0.8267 0.7108
11 Tm 0.8207 0.2557 0.5967
12 Tm 0.3326 0.3054 0.0600
13 Y 0.3028 0.6055 0.6182
14 Y 0.7657 0.5314 0.1062
15 Y 0.6972 0.3945 0.3818
16 Y 0.2343 0.4686 0.8938
17 Y 0.0000 0.0000 0.5000
18 Th 0.6801 0.0000 0.0000
19 Th 0.3199 0.0000 0.0000

# Hg4Pd2Cl

A relaxed structure of Hg4Pd2Cl (PBE, Alexandria via LeMat-Bulk).

For the raw formation energy, the calculation gives 217 meV/atom. The energy comes out at -1.7030 eV/atom.

Cell lengths 5.3674, 5.3674, 8.1129 Å; angles 70.68, 70.68, 90.00 degrees
Fractional coordinates of all 7 atoms:
1 Hg 0.2232 0.2232 0.5536
2 Hg 0.5000 0.0000 0.0000
3 Hg 0.7768 0.7768 0.4464
4 Hg 0.0000 0.5000 0.0000
5 Pd 0.4101 0.4101 0.1797
6 Pd 0.5899 0.5899 0.8203
7 Cl 0.0000 0.0000 0.0000

# LiAlH2

A relaxed structure of LiAlH2 (PBE, Alexandria via LeMat-Bulk).

The value obtained for the energy above the most stable polymorph in this dataset is 0.540 eV per atom. The energy comes out at -2.7237 eV/atom.

Cell lengths 3.7954, 3.7954, 3.7954 Å; angles 60.00, 60.00, 60.00 degrees
Fractional coordinates of all 4 atoms:
1 Al 0.5000 0.5000 0.5000
2 H 0.7500 0.7500 0.7500
3 H 0.2500 0.2500 0.2500
4 Li 0.0000 0.0000 0.0000

What M_tot values result from the calculations? In sequence: 0.0000; 0.0000; 0.0000; 0.0000 μB/atom.
What Fermi-level density of states values result from the calculations? In sequence: 0.000; 28.809; 3.137; 1.207 states/eV per cell.